Entry 1:
Below is a crystal of CsTiNiOF5 relaxed with PBEsol, with properties calculated at the SCAN level.

POSCAR file:
```
CsTiNiOF5
1.0
-3.596 3.613 5.159
3.596 -3.613 5.159
3.596 3.613 -5.159
Cs Ti Ni O F
2 2 2 2 10
Direct
0.369 0.119 0.250 Cs
0.631 0.881 0.750 Cs
0.000 0.000 0.500 Ti
0.000 0.500 0.000 Ti
0.000 0.500 0.500 Ni
0.500 0.500 0.000 Ni
0.045 0.795 0.250 O
0.955 0.205 0.750 O
0.062 0.415 0.234 F
0.062 0.829 0.647 F
0.319 0.171 0.734 F
0.319 0.585 0.147 F
0.326 0.576 0.750 F
0.674 0.424 0.250 F
0.681 0.415 0.853 F
0.681 0.829 0.266 F
0.938 0.171 0.353 F
0.938 0.585 0.766 F
```

Results
As for the total magnetization: 2.01 μB/f.u. The calculation puts the uncorrected formation energy at -3.05 eV/atom. For the density of states at the Fermi level, the calculation gives 0.0 states/eV/f.u. The total energy comes out at -13.49 eV/atom.

=====

Entry 2:
Below is a crystal of LiCdCo relaxed with PBEsol, with properties calculated at the SCAN level.

POSCAR file:
```
LiCdCo
1.0
0.000 2.978 2.978
2.978 0.000 2.978
2.978 2.978 0.000
Li Cd Co
1 1 1
Direct
0.000 0.000 0.000 Li
0.500 0.500 0.500 Cd
0.250 0.250 0.250 Co
```

Results
As for the total magnetization: 1.94 μB/f.u. The value obtained for the energy of formation is 0.384 eV/atom. For the density of states at the Fermi level, the calculation gives 1.2 states/eV/f.u. The total energy comes out at -16.32 eV/atom.

=====

Entry 3:
Below is a crystal of Na2BHO3 relaxed with PBEsol, with properties calculated at the SCAN level.

POSCAR file:
```
Na2BHO3
1.0
8.543 0.000 0.000
0.000 3.488 0.000
0.000 0.000 9.865
Na B H O
8 4 4 12
Direct
0.070 0.250 0.104 Na
0.171 0.250 0.447 Na
0.329 0.750 0.947 Na
0.430 0.750 0.604 Na
0.570 0.250 0.396 Na
0.671 0.250 0.053 Na
0.829 0.750 0.553 Na
0.930 0.750 0.896 Na
0.134 0.250 0.742 B
0.366 0.750 0.242 B
0.634 0.250 0.758 B
0.866 0.750 0.258 B
0.106 0.750 0.266 H
0.394 0.250 0.766 H
0.606 0.750 0.234 H
0.894 0.250 0.734 H
0.007 0.750 0.335 O
0.128 0.250 0.881 O
0.229 0.750 0.169 O
0.271 0.250 0.669 O
0.372 0.750 0.381 O
0.493 0.250 0.835 O
0.507 0.750 0.165 O
0.628 0.250 0.619 O
0.729 0.750 0.331 O
0.771 0.250 0.831 O
0.872 0.750 0.119 O
0.993 0.250 0.665 O
```

Results
As for the total magnetization: 0.00 μB/f.u. For the density of states at the Fermi level, the calculation gives 0.0 states/eV/f.u. The total energy comes out at -7.49 eV/atom.

=====

Entry 4:
Below is a crystal of Re4Pt relaxed with PBEsol, with properties calculated at the SCAN level.

POSCAR file:
```
Re4Pt
1.0
-1.959 1.959 5.563
1.959 -1.959 5.563
1.959 1.959 -5.563
Re Pt
4 1
Direct
0.111 0.111 0.000 Re
0.250 0.750 0.500 Re
0.750 0.250 0.500 Re
0.889 0.889 0.000 Re
0.500 0.500 0.000 Pt
```

Results
As for the total magnetization: 0.00 μB/f.u. The value obtained for the energy of formation is 0.558 eV/atom. For the density of states at the Fermi level, the calculation gives 2.8 states/eV/f.u. The total energy comes out at -70.36 eV/atom.

=====

Entry 5:
Below is a crystal of ScAlSb2 relaxed with PBEsol, with properties calculated at the SCAN level.

POSCAR file:
```
ScAlSb2
1.0
2.046 -2.493 0.000
2.046 2.493 0.000
0.000 0.000 9.025
Sc Al Sb
1 1 2
Direct
0.000 0.000 0.000 Sc
0.500 0.500 0.783 Al
0.000 0.000 0.564 Sb
0.500 0.500 0.235 Sb
```

Results
As for the total magnetization: 0.22 μB/f.u. The calculation puts the uncorrected formation energy at -0.18 eV/atom. For the density of states at the Fermi level, the calculation gives 2.8 states/eV/f.u. The total energy comes out at -24.30 eV/atom. The relative energy among the computed polymorphs is 8 meV per atom.

=====

Entry 6:
Below is a crystal of SrZn2Ir relaxed with PBEsol, with properties calculated at the SCAN level.

POSCAR file:
```
SrZn2Ir
1.0
2.074 -5.427 0.000
2.074 5.427 0.000
0.000 0.000 7.364
Sr Zn Ir
2 4 2
Direct
0.055 0.945 0.750 Sr
0.945 0.055 0.250 Sr
0.326 0.674 0.563 Zn
0.326 0.674 0.937 Zn
0.674 0.326 0.063 Zn
0.674 0.326 0.437 Zn
0.225 0.775 0.250 Ir
0.775 0.225 0.750 Ir
```

Results
As for the total magnetization: 0.00 μB/f.u. The value obtained for the energy of formation is -0.370 eV/atom. For the density of states at the Fermi level, the calculation gives 2.1 states/eV/f.u. The total energy comes out at -30.47 eV/atom.

=====

Entry 7:
Below is a crystal of InHg3 relaxed with PBEsol, with properties calculated at the SCAN level.

POSCAR file:
```
InHg3
1.0
3.680 0.000 0.000
0.000 3.680 0.000
0.000 0.000 7.068
In Hg
1 3
Direct
0.000 0.000 0.000 In
0.000 0.000 0.500 Hg
0.500 0.500 0.254 Hg
0.500 0.500 0.746 Hg
```

Results
As for the total magnetization: 0.00 μB/f.u. The value obtained for the energy of formation is 0.020 eV/atom. For the density of states at the Fermi level, the calculation gives 1.4 states/eV/f.u. The total energy comes out at -59.45 eV/atom.

=====

Entry 8:
Below is a crystal of NdY3 relaxed with PBEsol, with properties calculated at the SCAN level.

POSCAR file:
```
NdY3
1.0
4.987 0.000 0.000
0.000 4.987 0.000
0.000 0.000 4.987
Nd Y
1 3
Direct
0.000 0.000 0.000 Nd
0.000 0.500 0.500 Y
0.500 0.000 0.500 Y
0.500 0.500 0.000 Y
```

Results
As for the total magnetization: 0.00 μB/f.u. The value obtained for the energy of formation is 0.042 eV/atom. For the density of states at the Fermi level, the calculation gives 5.5 states/eV/f.u. The total energy comes out at -31.74 eV/atom. The relative energy among the computed polymorphs is 29 meV per atom.

=====

Entry 9:
Below is a crystal of Y3HgC relaxed with PBEsol, with properties calculated at the SCAN level.

POSCAR file:
```
Y3HgC
1.0
-3.440 4.784 3.420
3.440 -4.784 3.420
3.440 4.784 -3.420
Y Hg C
6 2 2
Direct
0.212 0.000 0.712 Y
0.212 0.500 0.212 Y
0.326 0.076 0.250 Y
0.674 0.924 0.750 Y
0.788 0.000 0.288 Y
0.788 0.500 0.788 Y
0.241 0.491 0.750 Hg
0.759 0.509 0.250 Hg
0.000 0.000 0.000 C
0.500 0.000 0.500 C
```

Results
As for the total magnetization: 0.00 μB/f.u. The value obtained for the energy of formation is -0.651 eV/atom. For the density of states at the Fermi level, the calculation gives 3.9 states/eV/f.u. The total energy comes out at -33.01 eV/atom. The relative energy among the computed polymorphs is 0 meV per atom.

=====

Entry 10:
Below is a crystal of Sr2TcPt relaxed with PBEsol, with properties calculated at the SCAN level.

POSCAR file:
```
Sr2TcPt
1.0
2.137 1.234 8.199
-2.137 1.234 8.199
0.000 -2.467 8.199
Sr Tc Pt
2 1 1
Direct
0.000 0.000 0.000 Sr
0.173 0.173 0.173 Sr
0.753 0.753 0.753 Tc
0.420 0.420 0.420 Pt
```

Results
As for the total magnetization: 0.08 μB/f.u. The value obtained for the energy of formation is -0.183 eV/atom. For the density of states at the Fermi level, the calculation gives 4.6 states/eV/f.u. The total energy comes out at -37.63 eV/atom. The relative energy among the computed polymorphs is 0 meV per atom.

=====

Entry 11:
Below is a crystal of SnBH2 relaxed with PBEsol, with properties calculated at the SCAN level.

POSCAR file:
```
SnBH2
1.0
-1.930 1.930 5.092
1.930 -1.930 5.092
1.930 1.930 -5.092
Sn B H
2 2 4
Direct
0.375 0.625 0.750 Sn
0.625 0.375 0.250 Sn
0.125 0.875 0.250 B
0.875 0.125 0.750 B
0.000 0.000 0.000 H
0.000 0.000 0.500 H
0.000 0.500 0.000 H
0.500 0.000 0.500 H
```

Results
As for the total magnetization: 0.00 μB/f.u. For the density of states at the Fermi level, the calculation gives 1.0 states/eV/f.u. The total energy comes out at -11.62 eV/atom.

=====

Entry 12:
Below is a crystal of Li4Ti2Cr3Ni3O16 relaxed with PBEsol, with properties calculated at the SCAN level.

POSCAR file:
```
Li4Ti2Cr3Ni3O16
1.0
4.938 -2.864 0.000
4.938 2.864 0.000
-0.039 0.000 9.295
Li Ti Cr Ni O
4 2 3 3 16
Direct
0.000 0.000 0.000 Li
0.001 0.001 0.499 Li
0.338 0.338 0.899 Li
0.669 0.669 0.393 Li
0.339 0.339 0.499 Ti
0.670 0.670 0.002 Ti
0.175 0.175 0.223 Cr
0.350 0.835 0.721 Cr
0.835 0.350 0.721 Cr
0.172 0.662 0.217 Ni
0.662 0.172 0.217 Ni
0.834 0.834 0.715 Ni
0.005 0.005 0.308 O
0.010 0.010 0.809 O
0.040 0.479 0.344 O
0.171 0.171 0.603 O
0.175 0.672 0.600 O
0.332 0.332 0.111 O
0.336 0.842 0.099 O
0.479 0.040 0.344 O
0.482 0.482 0.337 O
0.522 0.522 0.842 O
0.523 0.966 0.842 O
0.664 0.664 0.606 O
0.672 0.175 0.600 O
0.838 0.838 0.104 O
0.842 0.336 0.099 O
0.966 0.523 0.842 O
```

Results
As for the total magnetization: 10.00 μB/f.u. The calculation puts the uncorrected formation energy at -2.25 eV/atom. For the density of states at the Fermi level, the calculation gives 7.1 states/eV/f.u. The total energy comes out at -11.00 eV/atom.

=====

Entry 13:
Below is a crystal of SrTe2Rh relaxed with PBEsol, with properties calculated at the SCAN level.

POSCAR file:
```
SrTe2Rh
1.0
3.922 0.000 0.000
0.000 3.922 0.000
0.000 0.000 6.734
Sr Te Rh
1 2 1
Direct
0.000 0.000 0.000 Sr
0.000 0.000 0.531 Te
0.500 0.500 0.215 Te
0.500 0.500 0.605 Rh
```

Results
As for the total magnetization: 0.00 μB/f.u. The calculation puts the uncorrected formation energy at -0.58 eV/atom. For the density of states at the Fermi level, the calculation gives 1.9 states/eV/f.u. The total energy comes out at -33.22 eV/atom. The relative energy among the computed polymorphs is 315 meV per atom.

=====

Entry 14:
Below is a crystal of CoMo5 relaxed with PBEsol, with properties calculated at the SCAN level.

POSCAR file:
```
CoMo5
1.0
0.000 3.588 3.588
3.588 0.000 3.588
3.588 3.588 0.000
Co Mo
1 5
Direct
0.000 0.000 0.000 Co
0.375 0.375 0.375 Mo
0.375 0.375 0.875 Mo
0.375 0.875 0.375 Mo
0.750 0.750 0.750 Mo
0.875 0.375 0.375 Mo
```

Results
As for the total magnetization: 2.53 μB/f.u. The value obtained for the energy of formation is 0.510 eV/atom. For the density of states at the Fermi level, the calculation gives 4.0 states/eV/f.u. The total energy comes out at -31.44 eV/atom. The relative energy among the computed polymorphs is 115 meV per atom.

=====

Entry 15:
Below is a crystal of Ca2NbInO6 relaxed with PBEsol, with properties calculated at the SCAN level.

POSCAR file:
```
Ca2NbInO6
1.0
5.508 0.000 0.000
0.000 5.733 0.000
-5.477 0.000 7.921
Ca Nb In O
4 2 2 12
Direct
0.231 0.057 0.246 Ca
0.231 0.443 0.746 Ca
0.769 0.557 0.254 Ca
0.769 0.943 0.754 Ca
0.500 0.000 0.000 Nb
0.500 0.500 0.500 Nb
0.000 0.000 0.500 In
0.000 0.500 0.000 In
0.153 0.190 0.947 O
0.153 0.310 0.447 O
0.251 0.711 0.937 O
0.251 0.789 0.437 O
0.370 0.043 0.760 O
0.370 0.457 0.260 O
0.630 0.543 0.740 O
0.630 0.957 0.240 O
0.749 0.211 0.563 O
0.749 0.289 0.063 O
0.847 0.690 0.553 O
0.847 0.810 0.053 O
```

Results
As for the total magnetization: 0.00 μB/f.u. The calculation puts the uncorrected formation energy at -2.84 eV/atom. For the density of states at the Fermi level, the calculation gives 0.0 states/eV/f.u. The total energy comes out at -15.16 eV/atom.

=====

Entry 16:
Below is a crystal of IrOsPb3 relaxed with PBEsol, with properties calculated at the SCAN level.

POSCAR file:
```
IrOsPb3
1.0
5.119 0.000 0.000
0.000 5.119 0.000
0.000 0.000 5.119
Ir Os Pb
1 1 3
Direct
0.000 0.000 0.000 Ir
0.500 0.500 0.500 Os
0.000 0.000 0.500 Pb
0.000 0.500 0.000 Pb
0.500 0.000 0.000 Pb
```

Results
As for the total magnetization: 1.32 μB/f.u. The value obtained for the energy of formation is 1.354 eV/atom. For the density of states at the Fermi level, the calculation gives 3.4 states/eV/f.u. The total energy comes out at -72.71 eV/atom.

=====

Entry 17:
Below is a crystal of CuIr3 relaxed with PBEsol, with properties calculated at the SCAN level.

POSCAR file:
```
CuIr3
1.0
1.349 0.779 8.592
-1.349 0.779 8.592
0.000 -1.557 8.592
Cu Ir
1 3
Direct
0.000 0.000 0.000 Cu
0.252 0.252 0.252 Ir
0.500 0.500 0.500 Ir
0.748 0.748 0.748 Ir
```

Results
As for the total magnetization: 0.00 μB/f.u. The value obtained for the energy of formation is 0.038 eV/atom. For the density of states at the Fermi level, the calculation gives 2.6 states/eV/f.u. The total energy comes out at -57.09 eV/atom.

=====

Entry 18:
Below is a crystal of CsLi2Cl3 relaxed with PBEsol, with properties calculated at the SCAN level.

POSCAR file:
```
CsLi2Cl3
1.0
-2.257 2.557 6.126
2.257 -2.557 6.126
2.257 2.557 -6.126
Cs Li Cl
1 2 3
Direct
0.000 0.000 0.000 Cs
0.307 0.307 0.000 Li
0.693 0.693 0.000 Li
0.229 0.729 0.500 Cl
0.500 0.500 0.000 Cl
0.771 0.271 0.500 Cl
```

Results
As for the total magnetization: 0.00 μB/f.u. The calculation puts the uncorrected formation energy at -2.08 eV/atom. For the density of states at the Fermi level, the calculation gives 0.0 states/eV/f.u. The total energy comes out at -13.17 eV/atom.

=====

Entry 19:
Below is a crystal of Ta2RhBr relaxed with PBEsol, with properties calculated at the SCAN level.

POSCAR file:
```
Ta2RhBr
1.0
1.484 0.857 8.759
-1.484 0.857 8.759
0.000 -1.714 8.759
Ta Rh Br
2 1 1
Direct
0.248 0.248 0.248 Ta
0.752 0.752 0.752 Ta
0.500 0.500 0.500 Rh
0.000 0.000 0.000 Br
```

Results
As for the total magnetization: 0.00 μB/f.u. The calculation puts the uncorrected formation energy at 0.19 eV/atom. For the density of states at the Fermi level, the calculation gives 4.0 states/eV/f.u. The total energy comes out at -46.41 eV/atom.

=====

Entry 20:
Below is a crystal of NbP2O7 relaxed with PBEsol, with properties calculated at the SCAN level.

POSCAR file:
```
NbP2O7
1.0
8.395 0.000 0.000
0.000 8.395 0.000
0.000 0.000 8.395
Nb P O
4 8 28
Direct
0.000 0.000 0.000 Nb
0.000 0.500 0.500 Nb
0.500 0.000 0.500 Nb
0.500 0.500 0.000 Nb
0.109 0.609 0.891 P
0.109 0.891 0.391 P
0.391 0.109 0.891 P
0.391 0.391 0.391 P
0.609 0.609 0.609 P
0.609 0.891 0.109 P
0.891 0.109 0.609 P
0.891 0.391 0.109 P
0.000 0.000 0.500 O
0.000 0.500 0.000 O
0.058 0.720 0.420 O
0.058 0.780 0.920 O
0.080 0.558 0.720 O
0.080 0.942 0.220 O
0.220 0.080 0.942 O
0.220 0.420 0.442 O
0.280 0.580 0.942 O
0.280 0.920 0.442 O
0.420 0.058 0.720 O
0.420 0.442 0.220 O
0.442 0.220 0.420 O
0.442 0.280 0.920 O
0.500 0.000 0.000 O
0.500 0.500 0.500 O
0.558 0.720 0.080 O
0.558 0.780 0.580 O
0.580 0.558 0.780 O
0.580 0.942 0.280 O
0.720 0.080 0.558 O
0.720 0.420 0.058 O
0.780 0.580 0.558 O
0.780 0.920 0.058 O
0.920 0.058 0.780 O
0.920 0.442 0.280 O
0.942 0.220 0.080 O
0.942 0.280 0.580 O
```

Results
As for the total magnetization: 1.00 μB/f.u. The calculation puts the uncorrected formation energy at -2.48 eV/atom. For the density of states at the Fermi level, the calculation gives 2.3 states/eV/f.u. The total energy comes out at -12.23 eV/atom.